[1]
The following is a PBE-GGA calculation of a relaxed structure of Pm4CuSn, from the Alexandria database.

Values from the calculation:
Fermi-level density of states = 1.11 states/eV/atom
calculated formation energy = -0.201 eV/atom
magnetic moment = 0.00 μB/f.u.
E = -0.347 Ry/atom

```
12
Lattice="2.746 -10.299 0.000 2.746 10.299 0.000 0.000 0.000 6.518" Properties=species:S:1:pos:R:3 pbc="T T T"
Pm 2.746 9.241 3.259
Pm 2.746 6.144 1.659
Pm 2.746 6.134 4.850
Pm 2.746 2.164 3.254
Pm 2.746 -2.164 6.513
Pm 2.746 -6.134 1.591
Pm 2.746 -6.144 4.918
Pm 2.746 -9.241 0.000
Cu 2.746 8.584 6.506
Cu 2.746 -8.584 3.247
Sn 2.746 3.075 6.514
Sn 2.746 -3.075 3.256
```

=====

[2]
The following is a PBE-GGA calculation of a relaxed structure of LiTiCdGa, from the Alexandria database.

Values from the calculation:
Fermi-level density of states = 0.52 states/eV/atom
calculated formation energy = -0.141 eV/atom
magnetic moment = 0.00 μB/f.u.
E = -0.263 Ry/atom

```
4
Lattice="0.000 3.241 3.241 3.241 0.000 3.241 3.241 3.241 0.000" Properties=species:S:1:pos:R:3 pbc="T T T"
Li 0.000 0.000 0.000
Ti 3.241 3.241 3.241
Cd 4.862 4.862 4.862
Ga 1.621 1.621 1.621
```